Material: InFe2MoO
Method: DFT, PBE+U
State: relaxed

Unit cell a=5.063 b=5.620 c=5.063 alpha=90.00 beta=90.00 gamma=90.00
Site moments in Bohr magnetons follow the coordinates.
Fractional positions:
Fe1 0.500 0.000 0.000  3.69
Mo1 0.000 0.500 0.000  3.88
O1 0.500 0.500 0.500  -0.82
In1 0.000 0.000 0.000  -0.19
Fe2 0.000 0.000 0.500  3.79

Its space group is P4/mmm. The value obtained for the energy is -3.455 eV/atom. The total magnetic moment comes out at 11.0 μB per formula unit.